[1]
A plane-wave DFT calculation with GGA-PBE was carried out for a relaxed LaPm2Pr2Tm2 crystal.

Lattice parameters (Å, degrees): 6.180 6.180 12.095 108.71 108.71 33.61
Atoms (fractional coordinates):
La 0.000 0.000 0.000
Pm 0.449 0.449 0.730
Pm 0.551 0.551 0.270
Pr 0.332 0.332 0.416
Pr 0.668 0.668 0.584
Tm 0.224 0.224 0.864
Tm 0.776 0.776 0.136

Output
Magnetic moment in μB/cell: 0.0
SG: No. 12
VASP energy in Ha/atom: -0.1697

***

[2]
A plane-wave DFT calculation with GGA-PBE was carried out for a relaxed LaPmPr4Tm2 crystal.

Lattice parameters (Å, degrees): 6.324 6.324 10.371 114.35 114.35 48.36
Atoms (fractional coordinates):
La 0.000 0.000 0.000
Pm 0.000 0.000 0.500
Pr 0.249 0.249 0.874
Pr 0.251 0.251 0.375
Pr 0.749 0.749 0.625
Pr 0.751 0.751 0.126
Tm 0.500 0.500 0.252
Tm 0.500 0.500 0.748

Output
Magnetic moment in μB/cell: 0.0
SG: No. 12
VASP energy in Ha/atom: -0.1726

***

[3]
A plane-wave DFT calculation with GGA-PBE was carried out for a relaxed La2Pm2PrTm2 crystal.

Lattice parameters (Å, degrees): 6.305 6.305 8.163 97.43 97.43 48.19
Atoms (fractional coordinates):
La 0.144 0.144 0.430
La 0.856 0.856 0.570
Pm 0.429 0.429 0.281
Pm 0.571 0.571 0.719
Pr 0.000 0.000 0.000
Tm 0.284 0.284 0.862
Tm 0.716 0.716 0.138

Output
Magnetic moment in μB/cell: 0.0
SG: No. 12
VASP energy in Ha/atom: -0.1727

***

[4]
A plane-wave DFT calculation with GGA-PBE was carried out for a relaxed La2PmPr2Tm2 crystal.

Lattice parameters (Å, degrees): 6.304 6.304 8.209 97.31 97.31 48.26
Atoms (fractional coordinates):
La 0.142 0.142 0.427
La 0.858 0.858 0.573
Pm 0.000 0.000 0.000
Pr 0.285 0.285 0.858
Pr 0.715 0.715 0.142
Tm 0.429 0.429 0.286
Tm 0.571 0.571 0.714

Output
Magnetic moment in μB/cell: 0.0
SG: No. 12
VASP energy in Ha/atom: -0.1730

***

[5]
A plane-wave DFT calculation with GGA-PBE was carried out for a relaxed LaPm4Pr2Tm2 crystal.

Lattice parameters (Å, degrees): 8.156 8.156 8.132 107.62 107.62 36.83
Atoms (fractional coordinates):
La 0.000 0.000 0.000
Pm 0.222 0.222 0.330
Pm 0.444 0.444 0.668
Pm 0.556 0.556 0.332
Pm 0.778 0.778 0.670
Pr 0.112 0.112 0.667
Pr 0.888 0.888 0.333
Tm 0.331 0.331 0.000
Tm 0.669 0.669 0.000

Output
Magnetic moment in μB/cell: 0.0
SG: No. 12
VASP energy in Ha/atom: -0.1724

***

[6]
A plane-wave DFT calculation with GGA-PBE was carried out for a relaxed LaPm2Pr6Tm crystal.

Lattice parameters (Å, degrees): 9.045 9.045 9.928 94.09 94.09 117.59
Atoms (fractional coordinates):
La 0.021 0.979 0.750
La 0.979 0.021 0.250
Pm 0.198 0.297 0.545
Pm 0.297 0.198 0.045
Pm 0.703 0.802 0.955
Pm 0.802 0.703 0.455
Pr 0.011 0.566 0.688
Pr 0.118 0.749 0.054
Pr 0.251 0.882 0.446
Pr 0.297 0.507 0.882
Pr 0.434 0.989 0.812
Pr 0.493 0.703 0.618
Pr 0.507 0.297 0.382
Pr 0.566 0.011 0.188
Pr 0.703 0.493 0.118
Pr 0.749 0.118 0.554
Pr 0.882 0.251 0.946
Pr 0.989 0.434 0.312
Tm 0.409 0.591 0.250
Tm 0.591 0.409 0.750

Output
Magnetic moment in μB/cell: 0.0
SG: No. 15
VASP energy in Ha/atom: -0.1709

***

[7]
A plane-wave DFT calculation with GGA-PBE was carried out for a relaxed La2PmPrTm2 crystal.

Lattice parameters (Å, degrees): 5.159 10.945 7.237 90.00 90.00 90.00
Atoms (fractional coordinates):
La 0.000 0.003 0.000
La 0.000 0.997 0.500
La 0.500 0.168 0.254
La 0.500 0.832 0.754
Pm 0.500 0.497 0.759
Pm 0.500 0.503 0.259
Pr 0.000 0.336 0.505
Pr 0.000 0.664 0.005
Tm 0.000 0.334 0.005
Tm 0.000 0.666 0.505
Tm 0.500 0.172 0.753
Tm 0.500 0.828 0.253

Output
Magnetic moment in μB/cell: 0.0
SG: No. 26
VASP energy in Ha/atom: -0.1727

***

[8]
A plane-wave DFT calculation with GGA-PBE was carried out for a relaxed La2PmPrTm crystal.

Lattice parameters (Å, degrees): 6.440 5.902 9.838 90.00 108.98 90.00
Atoms (fractional coordinates):
La 0.037 0.250 0.399
La 0.233 0.250 0.805
La 0.767 0.750 0.195
La 0.963 0.750 0.601
Pm 0.430 0.250 0.192
Pm 0.570 0.750 0.808
Pr 0.364 0.750 0.398
Pr 0.636 0.250 0.602
Tm 0.162 0.750 0.000
Tm 0.838 0.250 0.000

Output
Magnetic moment in μB/cell: 0.0
SG: No. 11
VASP energy in Ha/atom: -0.1741

***

[9]
A plane-wave DFT calculation with GGA-PBE was carried out for a relaxed LaPmPrTm crystal.

Lattice parameters (Å, degrees): 5.810 5.810 5.810 60.00 60.00 60.00
Atoms (fractional coordinates):
La 0.000 0.000 0.000
Pm 0.250 0.250 0.250
Pr 0.500 0.500 0.500
Tm 0.750 0.750 0.750

Output
Magnetic moment in μB/cell: 0.0
SG: No. 216
VASP energy in Ha/atom: -0.1699

***

[10]
A plane-wave DFT calculation with GGA-PBE was carried out for a relaxed LaPmPr2Tm5 crystal.

Lattice parameters (Å, degrees): 9.941 9.941 9.941 127.99 127.99 76.63
Atoms (fractional coordinates):
La 0.250 0.250 0.000
La 0.750 0.750 0.000
Pm 0.250 0.750 0.500
Pm 0.750 0.250 0.500
Pr 0.118 0.618 0.736
Pr 0.382 0.118 0.500
Pr 0.618 0.882 0.500
Pr 0.882 0.382 0.264
Tm 0.000 0.000 0.000
Tm 0.073 0.153 0.500
Tm 0.153 0.653 0.080
Tm 0.347 0.427 0.500
Tm 0.427 0.927 0.080
Tm 0.500 0.500 0.000
Tm 0.573 0.073 0.920
Tm 0.653 0.573 0.500
Tm 0.847 0.347 0.920
Tm 0.927 0.847 0.500

Output
Magnetic moment in μB/cell: 0.0
SG: No. 140
VASP energy in Ha/atom: -0.1608

***

[11]
A plane-wave DFT calculation with GGA-PBE was carried out for a relaxed La2PmPr6Y crystal.

Lattice parameters (Å, degrees): 9.024 9.024 10.190 95.16 95.16 118.14
Atoms (fractional coordinates):
La 0.194 0.290 0.041
La 0.290 0.194 0.541
La 0.710 0.806 0.459
La 0.806 0.710 0.959
Pm 0.014 0.986 0.250
Pm 0.986 0.014 0.750
Pr 0.018 0.578 0.188
Pr 0.119 0.743 0.554
Pr 0.257 0.881 0.946
Pr 0.297 0.502 0.380
Pr 0.422 0.982 0.312
Pr 0.498 0.703 0.120
Pr 0.502 0.297 0.880
Pr 0.578 0.018 0.688
Pr 0.703 0.498 0.620
Pr 0.743 0.119 0.054
Pr 0.881 0.257 0.446
Pr 0.982 0.422 0.812
Y 0.405 0.595 0.750
Y 0.595 0.405 0.250

Output
Magnetic moment in μB/cell: 0.0
SG: No. 15
VASP energy in Ha/atom: -0.1790

***

[12]
A plane-wave DFT calculation with GGA-PBE was carried out for a relaxed La6PmPrY2 crystal.

Lattice parameters (Å, degrees): 6.762 6.762 9.015 101.17 101.17 64.93
Atoms (fractional coordinates):
La 0.101 0.546 0.200
La 0.139 0.139 0.437
La 0.454 0.899 0.800
La 0.546 0.101 0.200
La 0.861 0.861 0.563
La 0.899 0.454 0.800
Pm 0.500 0.500 0.500
Pr 0.000 0.000 0.000
Y 0.406 0.406 0.838
Y 0.594 0.594 0.162

Output
Magnetic moment in μB/cell: 0.0
SG: No. 12
VASP energy in Ha/atom: -0.1844

***

Calculated values (eV/atom) of energy of formation for the records, taken in order: 0.09; 0.02; 0.03; 0.02; 0.02; 0.11; 0.02; 0.03; 0.11; 0.25; 0.10; 0.18.